1.
LaPm5In2 | Alexandria | PBE-GGA | relaxed; raw total energy = -4.454 eV/atom; ΔE to the lowest computed polymorph = 94.3 meV/atom; Fermi-level density of states = 12.42 states/eV/f.u.; space-group type = Immm (71); energy relative to the elements = -1.5 eV/f.u.; total moment = 0.000 μB/f.u.
1.0
3.721 0.000 0.000
0.000 10.860 0.000
0.000 0.000 12.839
La Pm In
2 10 4
direct
0.000 0.000 0.000
0.500 0.500 0.500
0.000 0.222 0.362
0.000 0.222 0.638
0.000 0.500 0.000
0.000 0.778 0.362
0.000 0.778 0.638
0.500 0.000 0.500
0.500 0.278 0.138
0.500 0.278 0.862
0.500 0.722 0.138
0.500 0.722 0.862
0.000 0.500 0.266
0.000 0.500 0.734
0.500 0.000 0.234
0.500 0.000 0.766

---

2.
Ce2NdZn | Alexandria | PBE-GGA | relaxed; raw total energy = -4.475 eV/atom; ΔE to the lowest computed polymorph = 16.5 meV/atom; Fermi-level density of states = 10.49 states/eV/f.u.; space-group type = P4/mmm (123); energy relative to the elements = 0.0 eV/f.u.; total moment = 1.393 μB/f.u.
1.0
4.574 0.000 0.000
0.000 4.574 0.000
0.000 0.000 5.026
Ce Nd Zn
2 1 1
direct
0.000 0.500 0.000
0.500 0.000 0.000
0.000 0.000 0.500
0.500 0.500 0.500

---

3.
GeOs | Alexandria | PBE-GGA | relaxed; raw total energy = -7.299 eV/atom; Fermi-level density of states = 1.10 states/eV/f.u.; space-group type = Fddd (70); energy relative to the elements = 1.2 eV/f.u.; total moment = 0.000 μB/f.u.
1.0
0.000 4.332 6.189
3.103 0.000 6.189
3.103 4.332 0.000
Ge Os
4 4
direct
0.110 0.640 0.110
0.360 0.890 0.360
0.640 0.110 0.640
0.890 0.360 0.890
0.274 0.274 0.476
0.476 0.476 0.274
0.524 0.524 0.726
0.726 0.726 0.524

---

4.
SrCrBr2 | Alexandria | PBE-GGA | relaxed; raw total energy = -4.355 eV/atom; ΔE to the lowest computed polymorph = 0.0 meV/atom; Fermi-level density of states = 1.56 states/eV/f.u.; space-group type = Cm (8); formation energy (no corrections) = -0.692 eV/atom; total moment = 5.721 μB/f.u.
1.0
11.883 0.000 0.000
0.000 4.585 0.000
-0.011 0.000 4.367
Sr Cr Br
2 2 4
direct
0.000 0.000 0.000
0.500 0.500 0.000
0.288 0.500 0.497
0.788 0.000 0.497
0.065 0.500 0.501
0.287 0.000 0.002
0.565 0.000 0.501
0.787 0.500 0.002